[1]
MnOsSe2N GGA-PBE relaxed; electronic total energy = -31.5 eV per cell; formation energy from raw total energies = 0.83 eV/atom; excess energy over the best structure of this formula in the dataset = 378 meV/atom; mass density = 8.8 g/cm3
1.0
4.828 0.000 0.000
0.000 4.828 0.000
0.000 0.000 3.357
Mn Os Se N
1 1 2 1
Direct
0.000 0.000 0.000
0.500 0.500 0.500
0.000 0.500 0.000
0.500 0.000 0.000
0.000 0.000 0.500


[2]
MnOsSe2N GGA-PBE relaxed; electronic total energy = -33.4 eV per cell; formation energy from raw total energies = 0.45 eV/atom; excess energy over the best structure of this formula in the dataset = 0 meV/atom; mass density = 7.2 g/cm3
1.0
5.125 0.000 0.000
0.000 5.125 0.000
0.000 0.000 3.669
Mn Os Se N
1 1 2 1
Direct
0.000 0.000 0.000
0.500 0.500 0.500
0.000 0.500 0.500
0.500 0.000 0.500
0.500 0.500 0.000


[3]
TaMn2OsN GGA-PBE relaxed; electronic total energy = -51.0 eV per cell; formation energy from raw total energies = -0.24 eV/atom; mass density = 13.6 g/cm3
1.0
3.807 0.000 0.000
0.000 3.807 0.000
0.000 0.000 4.166
Ta Mn Os N
1 2 1 1
Direct
0.000 0.000 0.000
0.000 0.500 0.500
0.500 0.000 0.500
0.500 0.500 0.000
0.000 0.000 0.500


[4]
Mn2TcOsN GGA-PBE relaxed; electronic total energy = -48.0 eV per cell; formation energy from raw total energies = 0.05 eV/atom; mass density = 11.9 g/cm3
1.0
3.798 0.000 0.000
0.000 3.798 0.000
0.000 0.000 3.977
Mn Tc Os N
2 1 1 1
Direct
0.000 0.500 0.000
0.500 0.000 0.000
0.000 0.000 0.500
0.500 0.500 0.500
0.000 0.000 0.000


[5]
MnV2OsN GGA-PBE relaxed; electronic total energy = -49.0 eV per cell; formation energy from raw total energies = -0.42 eV/atom; mass density = 10.4 g/cm3
1.0
3.926 0.000 0.000
0.000 3.926 0.000
0.000 0.000 3.734
Mn V Os N
1 2 1 1
Direct
0.000 0.000 0.000
0.000 0.500 0.500
0.500 0.000 0.500
0.500 0.500 0.000
0.000 0.000 0.500


[6]
Mn2VOsN GGA-PBE relaxed; electronic total energy = -48.3 eV per cell; formation energy from raw total energies = -0.25 eV/atom; mass density = 11.0 g/cm3
1.0
3.752 0.000 0.000
0.000 3.752 0.000
0.000 0.000 3.917
Mn V Os N
2 1 1 1
Direct
0.000 0.500 0.000
0.500 0.000 0.000
0.000 0.000 0.500
0.500 0.500 0.500
0.000 0.000 0.000


[7]
Mn2OsWN GGA-PBE relaxed; electronic total energy = -51.1 eV per cell; formation energy from raw total energies = -0.04 eV/atom; mass density = 14.1 g/cm3
1.0
3.807 0.000 0.000
0.000 3.807 0.000
0.000 0.000 4.056
Mn Os W N
2 1 1 1
Direct
0.000 0.500 0.000
0.500 0.000 0.000
0.000 0.000 0.500
0.500 0.500 0.500
0.500 0.500 0.000


[8]
MnPN GGA-PBE relaxed; electronic total energy = -22.6 eV per cell; formation energy from raw total energies = 0.10 eV/atom; excess energy over the best structure of this formula in the dataset = 271 meV/atom; mass density = 3.7 g/cm3
1.0
2.616 -1.486 0.000
2.616 1.486 0.000
-1.805 0.000 5.846
Mn P N
1 1 1
Direct
0.000 0.000 0.000
0.574 0.574 0.729
0.706 0.706 0.103


[9]
MnP2N GGA-PBE relaxed; electronic total energy = -54.6 eV per cell; formation energy from raw total energies = 0.25 eV/atom; mass density = 4.4 g/cm3
1.0
-2.459 2.459 4.070
2.459 -2.459 4.070
2.459 2.459 -4.070
Mn P N
2 4 2
Direct
0.000 0.000 0.000
0.750 0.250 0.500
0.166 0.625 0.041
0.375 0.416 0.541
0.584 0.125 0.959
0.875 0.834 0.459
0.250 0.750 0.500
0.500 0.500 0.000


[10]
MnPN GGA-PBE relaxed; electronic total energy = -23.4 eV per cell; formation energy from raw total energies = -0.17 eV/atom; excess energy over the best structure of this formula in the dataset = 0 meV/atom; mass density = 4.7 g/cm3
1.0
2.733 -1.585 0.000
2.733 1.585 0.000
-1.822 0.000 4.061
Mn P N
1 1 1
Direct
0.000 0.000 0.000
0.450 0.450 0.348
0.584 0.584 0.752


[11]
MnPN GGA-PBE relaxed; electronic total energy = -22.6 eV per cell; formation energy from raw total energies = 0.11 eV/atom; excess energy over the best structure of this formula in the dataset = 277 meV/atom; mass density = 5.0 g/cm3
1.0
3.362 -1.327 0.000
3.362 1.327 0.000
-0.919 0.000 3.720
Mn P N
1 1 1
Direct
0.000 0.000 0.000
0.475 0.475 0.499
0.298 0.298 0.103


[12]
MnPN GGA-PBE relaxed; electronic total energy = -22.6 eV per cell; formation energy from raw total energies = 0.11 eV/atom; excess energy over the best structure of this formula in the dataset = 278 meV/atom; mass density = 5.7 g/cm3
1.0
2.687 0.000 0.000
1.040 2.518 0.000
0.298 0.142 4.268
Mn P N
1 1 1
Direct
0.000 0.000 0.000
0.431 0.443 0.628
0.953 0.487 0.344


The lowest formation energy from raw total energies belongs to which entry? MnV2OsN


Which value of electronic total energy does entry 11 give? -22.6 eV per cell